[1]
TaTiCoW: relaxed, PBE.

a = 4.414 Å, b = 4.414 Å, c = 4.414 Å
α = 60.00°, β = 60.00°, γ = 60.00°
Sites, in units of the cell vectors:
1 Ta 0.000 0.000 0.000
2 Ti 0.500 0.500 0.500
3 Co 0.250 0.250 0.250
4 W 0.750 0.750 0.750

Results
Uncorrected energy = -40.38 eV per cell
Crystal system = cubic
Total magnetic moment = 0.001 μB per cell

[2]
TaTi2Zn2Co2: relaxed, PBE.

a = 4.591 Å, b = 4.591 Å, c = 6.793 Å
α = 108.05°, β = 108.05°, γ = 49.83°
Sites, in units of the cell vectors:
1 Ta 0.000 0.000 0.000
2 Ti 0.370 0.370 0.227
3 Ti 0.630 0.630 0.773
4 Zn 0.132 0.132 0.437
5 Zn 0.868 0.868 0.563
6 Co 0.321 0.321 0.820
7 Co 0.679 0.679 0.180

Results
Uncorrected energy = -45.45 eV per cell
Crystal system = monoclinic
Total magnetic moment = 0.000 μB per cell

Please write out number 1 again, unchanged.
TaTiCoW: relaxed, PBE.

a = 4.414 Å, b = 4.414 Å, c = 4.414 Å
α = 60.00°, β = 60.00°, γ = 60.00°
Sites, in units of the cell vectors:
1 Ta 0.000 0.000 0.000
2 Ti 0.500 0.500 0.500
3 Co 0.250 0.250 0.250
4 W 0.750 0.750 0.750

Results
Uncorrected energy = -40.38 eV per cell
Crystal system = cubic
Total magnetic moment = 0.001 μB per cell

- Which of these has the lowest uncorrected energy?
  TaTi2Zn2Co2

- The lowest uncorrected energy belongs to which entry?
  TaTi2Zn2Co2